LuVO2 | PBE with a Hubbard U | relaxed

space group	No. 141
energy	-7.70	eV per atom

POSCAR file:
```
LuVO2
1.0
-6.7241 1.5323 -1.7639
-0.0704 0.0997 -7.1175
2.4478 -5.0400 4.3909
Lu O V
4 8 4
direct
0.8750 0.6250 0.2500 Lu
0.3750 0.6250 0.7500 Lu
0.3750 0.6250 0.2500 Lu
0.3750 0.1250 0.7500 Lu
0.1733 0.4153 0.2420 O
0.1733 0.9313 0.7580 O
0.1653 0.4233 0.7420 O
0.5767 0.8347 0.2580 O
0.6813 0.4233 0.2580 O
0.5767 0.3187 0.7420 O
0.5847 0.8267 0.7580 O
0.0687 0.8267 0.2420 O
0.3750 0.1250 0.2500 V
0.8750 0.1250 0.7500 V
0.8750 0.1250 0.2500 V
0.8750 0.6250 0.7500 V
```